(1)
10
Lattice="2.998 0.000 0.000 0.000 2.998 0.000 0.000 0.000 15.184" Properties=species:S:1:pos:R:3 comment="PBE BeGa4Ir5, optimized geometry" delta_e_f_ev_per_atom=-0.440 dft_energy_ev_per_atom=-6.4540 pbc="T T T"
Be 0.000 0.000 0.000
Ga 0.000 0.000 2.851
Ga 0.000 0.000 6.014
Ga 0.000 0.000 9.170
Ga 0.000 0.000 12.333
Ir 1.499 1.499 1.367
Ir 1.499 1.499 4.453
Ir 1.499 1.499 7.592
Ir 1.499 1.499 10.731
Ir 1.499 1.499 13.817

=====

(2)
5
Lattice="5.145 0.000 0.000 0.000 5.145 0.000 0.000 0.000 4.766" Properties=species:S:1:pos:R:3 comment="PBE HfNiSnSe2, optimized geometry" raw_formation_energy_ev_per_fu=-0.16 dft_energy_ev_per_atom=-5.3725 pbc="T T T"
Hf 0.000 0.000 0.000
Ni 0.000 0.000 2.383
Sn 2.573 2.573 2.383
Se 0.000 2.573 0.000
Se 2.573 0.000 0.000